(1)
# Pa3GaN2O6

A relaxed Pa3GaN2O6 crystal (PBE, the Alexandria database).

Unit cell a=6.458 b=6.458 c=4.708 alpha=91.50 beta=91.50 gamma=65.65
Fractional coordinates of all 12 atoms:
Pa (0.000, 0.000, 0.000)
Pa (0.000, 0.500, 0.500)
Pa (0.500, 0.000, 0.500)
Ga (0.500, 0.500, 0.500)
N (0.170, 0.170, 0.267)
N (0.830, 0.830, 0.733)
O (0.165, 0.672, 0.255)
O (0.328, 0.835, 0.745)
O (0.352, 0.352, 0.694)
O (0.648, 0.648, 0.306)
O (0.672, 0.165, 0.255)
O (0.835, 0.328, 0.745)

Results
- Theoretical density: 8.237 g cm⁻³
- E_form (uncorrected): -2.508 eV per atom


(2)
# Li3ZnIn3Hg2

A relaxed Li3ZnIn3Hg2 crystal (PBE, the Alexandria database).

Unit cell a=8.136 b=8.136 c=3.251 alpha=90.00 beta=90.00 gamma=120.00
Fractional coordinates of all 9 atoms:
Li (0.000, 0.372, 0.000)
Li (0.372, 0.000, 0.000)
Li (0.628, 0.628, 0.000)
Zn (0.000, 0.000, 0.000)
In (0.000, 0.710, 0.500)
In (0.290, 0.290, 0.500)
In (0.710, 0.000, 0.500)
Hg (0.333, 0.667, 0.500)
Hg (0.667, 0.333, 0.500)

Results
- Formation energy from the elements: -2.0 eV per formula unit
- Theoretical density: 7.413 g cm⁻³


(3)
# BaNa2ZrNi

A relaxed BaNa2ZrNi crystal (PBE, the Alexandria database).

Unit cell a=5.689 b=5.689 c=5.789 alpha=90.00 beta=90.00 gamma=90.00
Fractional coordinates of all 5 atoms:
Ba (0.000, 0.000, 0.000)
Na (0.000, 0.500, 0.500)
Na (0.500, 0.000, 0.500)
Zr (0.000, 0.000, 0.500)
Ni (0.500, 0.500, 0.000)

Results
- Formation energy from the elements: 8.0 eV per formula unit
- Theoretical density: 2.954 g cm⁻³


(4)
# MgPaGaHg

A relaxed MgPaGaHg crystal (PBE, the Alexandria database).

Unit cell a=5.010 b=5.010 c=5.010 alpha=60.00 beta=60.00 gamma=60.00
Fractional coordinates of all 4 atoms:
Mg (0.000, 0.000, 0.000)
Pa (0.500, 0.500, 0.500)
Ga (0.250, 0.250, 0.250)
Hg (0.750, 0.750, 0.750)

Results
- Formation energy from the elements: -0.4 eV per formula unit
- Theoretical density: 9.818 g cm⁻³